Cs2CeBe2S4: optimized geometry, GGA-PBE.

The space group is C2/m (No. 12) and the conventional cell measures 15.147, 3.816 and 8.418 Å, with angles of 90.00, 111.31 and 90.00 degrees. The distinct sites, in fractional coordinates, are Cs at (0.135, 0.000, 0.046), Ce at (0.000, 0.000, 0.500), Be at (0.173, 0.500, 0.468), S at (0.040, 0.500, 0.276) and S at (0.206, 0.000, 0.620).

The value obtained for the calculated volume is 453.37 Å³/cell. As for the total moment: 0.2076 μB/atom. As for the energy relative to the elements, uncorrected: -1.176 eV per atom. Its density of states at the Fermi level is 0.72 states/eV/atom.